#P
MgZn2F PBE relaxed; symmetry = I-42d, No. 122; N(E_F) = 1.58 states/eV/f.u.; size of the total moment = 0.00 μB per formula unit; V = 16.87 Å³/atom
1.0
7.6813 0.0000 0.0000
0.0000 7.6813 0.0000
0.0000 0.0000 4.5739
Mg Zn F
4 8 4
Direct
0.0000 0.0000 0.0000
0.0000 0.5000 0.2500
0.5000 0.0000 0.7500
0.5000 0.5000 0.5000
0.2040 0.2500 0.6250
0.2500 0.7040 0.8750
0.2500 0.7960 0.3750
0.2960 0.2500 0.1250
0.7040 0.7500 0.1250
0.7500 0.2040 0.3750
0.7500 0.2960 0.8750
0.7960 0.7500 0.6250
0.0000 0.0000 0.5000
0.0000 0.5000 0.7500
0.5000 0.0000 0.2500
0.5000 0.5000 0.0000

#Q
MgZn2F PBE relaxed; symmetry = Fm-3m, No. 225; N(E_F) = 0.84 states/eV/f.u.; size of the total moment = 0.00 μB per formula unit; V = 17.65 Å³/atom
1.0
6.5609 0.0000 0.0000
0.0000 6.5609 0.0000
0.0000 0.0000 6.5609
Mg Zn F
4 8 4
Direct
0.0000 0.0000 0.0000
0.0000 0.5000 0.5000
0.5000 0.0000 0.5000
0.5000 0.5000 0.0000
0.2500 0.2500 0.2500
0.2500 0.2500 0.7500
0.2500 0.7500 0.2500
0.2500 0.7500 0.7500
0.7500 0.2500 0.2500
0.7500 0.2500 0.7500
0.7500 0.7500 0.2500
0.7500 0.7500 0.7500
0.0000 0.0000 0.5000
0.0000 0.5000 0.0000
0.5000 0.0000 0.0000
0.5000 0.5000 0.5000

Tell me which of them is the most stable. Sure, it is #P.

#P
MgZn3F PBE relaxed; symmetry = Pm-3m, No. 221; N(E_F) = 1.87 states/eV/f.u.; size of the total moment = 0.00 μB per formula unit; V = 18.30 Å³/atom
1.0
4.5066 0.0000 0.0000
0.0000 4.5066 0.0000
0.0000 0.0000 4.5066
Mg Zn F
1 3 1
Direct
0.0000 0.0000 0.0000
0.0000 0.5000 0.5000
0.5000 0.0000 0.5000
0.5000 0.5000 0.0000
0.5000 0.5000 0.5000

#Q
MgZn3F PBE relaxed; symmetry = Pm-3m, No. 221; N(E_F) = 1.30 states/eV/f.u.; size of the total moment = 0.00 μB per formula unit; V = 27.77 Å³/atom
1.0
5.1780 0.0000 0.0000
0.0000 5.1780 0.0000
0.0000 0.0000 5.1780
Mg Zn F
1 3 1
Direct
0.0000 0.0000 0.0000
0.0000 0.0000 0.5000
0.0000 0.5000 0.0000
0.5000 0.0000 0.0000
0.5000 0.5000 0.5000

Tell me which of them is the most stable. Sure, it is #P.